Zn5Cd4 | GGA-PBE | optimized geometry

Cell: 8.9304 8.9304 4.2110 Å, 90.00 90.00 90.00°
Space group I4/mmm (No. 139)
Symmetry-distinct sites (fractional):
Zn  0.0000  0.0000  0.0000 (multiplicity 2)
Zn  0.1580  0.1580  0.5000 (multiplicity 8)
Cd  0.0000  0.3210  0.0000 (multiplicity 8)

Computed properties:
As for the magnetization: 0.00 μB per formula unit. The total energy is -9.38 eV per formula unit. Its formation energy is 0.07 eV/atom.

SrCrCu | GGA-PBE | optimized geometry

Cell: 4.4608 4.4608 4.4401 Å, 90.00 90.00 120.00°
Space group P-6m2 (No. 187)
Symmetry-distinct sites (fractional):
Sr  0.0000  0.0000  0.0000 (multiplicity 1)
Cr  0.6667  0.3333  0.5000 (multiplicity 1)
Cu  0.3333  0.6667  0.5000 (multiplicity 1)

Computed properties:
The energy relative to the lowest polymorph listed for this composition is 0.000 eV/atom. As for the magnetization: 4.53 μB per formula unit. The total energy is -14.03 eV per formula unit. Its formation energy is 0.46 eV/atom.

La7Sm2Tm3 | GGA-PBE | optimized geometry

Cell: 6.5389 3.5863 17.7625 Å, 90.00 95.51 90.00°
Space group P2/m (No. 10)
Symmetry-distinct sites (fractional):
La  0.0000  0.0000  0.0000 (multiplicity 1)
La  0.2295  0.5000  0.1729 (multiplicity 2)
La  0.2622  0.5000  0.4907 (multiplicity 2)
La  0.2806  0.0000  0.8343 (multiplicity 2)
Sm  0.0588  0.5000  0.6702 (multiplicity 2)
Tm  0.4589  0.0000  0.3388 (multiplicity 2)
Tm  0.5000  0.5000  0.0000 (multiplicity 1)

Computed properties:
As for the magnetization: 0.00 μB per formula unit. The total energy is -56.61 eV per formula unit. Its formation energy is 0.06 eV/atom.

NbZnPI2 | GGA-PBE | optimized geometry

Cell: 5.7273 5.7273 4.7509 Å, 90.00 90.00 90.00°
Space group P4/mmm (No. 123)
Symmetry-distinct sites (fractional):
Nb  0.0000  0.0000  0.0000 (multiplicity 1)
Zn  0.5000  0.5000  0.5000 (multiplicity 1)
P  0.0000  0.0000  0.5000 (multiplicity 1)
I  0.0000  0.5000  0.0000 (multiplicity 2)

Computed properties:
As for the magnetization: 0.00 μB per formula unit. The total energy is -18.61 eV per formula unit. The value obtained for the energy relative to the elements, uncorrected is 0.25 eV/atom.

Pm5HoEr6 | GGA-PBE | optimized geometry

Cell: 5.0580 10.0276 15.1758 Å, 90.00 90.00 90.00°
Space group Immm (No. 71)
Symmetry-distinct sites (fractional):
Pm  0.0000  0.0000  0.0000 (multiplicity 2)
Pm  0.0000  0.0000  0.3345 (multiplicity 4)
Pm  0.0000  0.5000  0.3333 (multiplicity 4)
Ho  0.0000  0.5000  0.0000 (multiplicity 2)
Er  0.0000  0.2488  0.5000 (multiplicity 4)
Er  0.0000  0.2507  0.1663 (multiplicity 8)

Computed properties:
As for the magnetization: 0.00 μB per formula unit. The total energy is -55.48 eV per formula unit. Its formation energy is 0.02 eV/atom.

PmGdGaBi | GGA-PBE | optimized geometry

Cell: 7.6324 7.6324 7.6324 Å, 90.00 90.00 90.00°
Space group F-43m (No. 216)
Symmetry-distinct sites (fractional):
Pm  0.0000  0.0000  0.0000 (multiplicity 4)
Gd  0.0000  0.0000  0.5000 (multiplicity 4)
Ga  0.2500  0.2500  0.7500 (multiplicity 4)
Bi  0.2500  0.2500  0.2500 (multiplicity 4)

Computed properties:
As for the magnetization: 7.38 μB per formula unit. The total energy is -27.78 eV per formula unit. Its formation energy is -0.51 eV/atom.

NbGe2Mo | GGA-PBE | optimized geometry

Cell: 5.8464 11.5431 5.0176 Å, 90.00 116.62 90.00°
Space group C2/c (No. 15)
Symmetry-distinct sites (fractional):
Nb  0.0000  0.0781  0.2500 (multiplicity 4)
Ge  0.2380  0.1534  0.8734 (multiplicity 8)
Mo  0.0000  0.4939  0.2500 (multiplicity 4)

Computed properties:
The energy relative to the lowest polymorph listed for this composition is 0.158 eV/atom. As for the magnetization: 0.00 μB per formula unit. The total energy is -29.60 eV per formula unit. Its formation energy is 0.13 eV/atom.

YMoPb2 | GGA-PBE | optimized geometry

Cell: 7.1919 7.1919 7.1919 Å, 90.00 90.00 90.00°
Space group Fm-3m (No. 225)
Symmetry-distinct sites (fractional):
Y  0.0000  0.0000  0.0000 (multiplicity 4)
Mo  0.0000  0.0000  0.5000 (multiplicity 4)
Pb  0.2500  0.2500  0.2500 (multiplicity 8)

Computed properties:
The energy relative to the lowest polymorph listed for this composition is 0.051 eV/atom. As for the magnetization: 0.00 μB per formula unit. The total energy is -23.71 eV per formula unit. Its formation energy is 0.25 eV/atom.

TaNbV2 | GGA-PBE | optimized geometry

Cell: 4.4807 4.4807 3.1760 Å, 90.00 90.00 90.00°
Space group P4/mmm (No. 123)
Symmetry-distinct sites (fractional):
Ta  0.0000  0.0000  0.0000 (multiplicity 1)
Nb  0.5000  0.5000  0.0000 (multiplicity 1)
V  0.0000  0.5000  0.5000 (multiplicity 2)

Computed properties:
The energy relative to the lowest polymorph listed for this composition is 0.000 eV/atom. As for the magnetization: 0.00 μB per formula unit. The total energy is -40.03 eV per formula unit. Its formation energy is 0.03 eV/atom.

LiSbCl3 | GGA-PBE | optimized geometry

Cell: 5.5015 5.5015 5.5015 Å, 90.00 90.00 90.00°
Space group Pm-3m (No. 221)
Symmetry-distinct sites (fractional):
Li  0.0000  0.0000  0.0000 (multiplicity 1)
Sb  0.5000  0.5000  0.5000 (multiplicity 1)
Cl  0.0000  0.5000  0.5000 (multiplicity 3)

Computed properties:
The energy relative to the lowest polymorph listed for this composition is 0.000 eV/atom. As for the magnetization: 0.00 μB per formula unit. The total energy is -15.04 eV per formula unit. The value obtained for the energy relative to the elements, uncorrected is -0.69 eV/atom.

SrTb2Zn3 | GGA-PBE | optimized geometry

Cell: 3.6628 3.6628 11.1396 Å, 90.00 90.00 90.00°
Space group P4/mmm (No. 123)
Symmetry-distinct sites (fractional):
Sr  0.0000  0.0000  0.0000 (multiplicity 1)
Tb  0.0000  0.0000  0.3433 (multiplicity 2)
Zn  0.5000  0.5000  0.1951 (multiplicity 2)
Zn  0.5000  0.5000  0.5000 (multiplicity 1)

Computed properties:
As for the magnetization: 0.00 μB per formula unit. The total energy is -16.46 eV per formula unit. Its formation energy is -0.28 eV/atom.

NaAcPb2Br8 | GGA-PBE | optimized geometry

Cell: 6.9552 9.1680 7.2629 Å, 90.00 90.76 90.00°
Space group P2/m (No. 10)
Symmetry-distinct sites (fractional):
Na  0.0000  0.0000  0.0000 (multiplicity 1)
Ac  0.0000  0.5000  0.0000 (multiplicity 1)
Pb  0.5000  0.2363  0.5000 (multiplicity 2)
Br  0.2371  0.2482  0.1564 (multiplicity 4)
Br  0.2555  0.5000  0.6598 (multiplicity 2)
Br  0.2651  0.0000  0.6604 (multiplicity 2)

Computed properties:
As for the magnetization: 0.00 μB per formula unit. The total energy is -42.72 eV per formula unit. The value obtained for the energy relative to the elements, uncorrected is -1.37 eV/atom.